! PBE+U PmTiCr2O8, optimized geometry; values from VASP
! total energy = -0.282 hartree per atom
&SYSTEM
  ibrav = 0, nat = 12, ntyp = 4
/
ATOMIC_SPECIES
Pm 145.00 Pm.upf
Ti 47.87 Ti.upf
Cr 52.00 Cr.upf
O 16.00 O.upf
CELL_PARAMETERS angstrom
-3.475 3.475 3.141
3.475 -3.475 3.141
3.475 3.475 -3.141
ATOMIC_POSITIONS angstrom
Pm 0.000 0.000 0.000
Ti 3.475 0.000 1.571
Cr 0.000 0.000 3.141
Cr 0.000 3.475 1.571
O 2.040 3.475 -1.115
O 1.435 0.000 2.027
O 0.000 2.254 0.385
O 3.475 2.040 1.115
O 0.000 4.696 0.385
O 0.000 1.435 4.256
O -1.221 3.475 2.757
O 1.221 3.475 2.757